Ir3PdS | the Alexandria database | PBE | relaxed; E above lowest polymorph = 0 meV/atom; magnetic moment = 0.002 μB/f.u.; calculated total energy = -6.346 eV per atom
1.0
-0.1972 -1.9156 3.9265
3.0259 -2.8950 -1.2604
3.1513 2.6599 1.4560
S Ir Pd
1 3 1
direct
0.0000 0.0000 0.0000
0.0000 0.5000 0.0000
0.0000 0.0000 0.5000
0.5000 0.0000 0.0000
0.5000 0.5000 0.5000